DFT (GGA-PBE) results for Ta8Os after structural relaxation.

Formation enthalpy at 0 K: -0.141 eV per atom
Final energy: -107.32 eV/f.u.
Theoretical density: 17080 kg/m3
Relative energy among the computed polymorphs: 0.000 eV/f.u.
Total moment: 0.00 μB per cell

Cell lengths 9.897, 9.897, 3.251 Å; angles 90.00, 90.00, 90.00 degrees
Space group I4/mmm (No. 139)
Symmetry-distinct sites (fractional):
1 Ta 0.000 0.333 0.000 (multiplicity 8)
2 Ta 0.163 0.163 0.500 (multiplicity 8)
3 Os 0.000 0.000 0.000 (multiplicity 2)